a) {"formula": "Mg6NbVO8", "functional": "PBE+U", "state": "optimized geometry", "cell": [[4.3206, 0.0000, 0.0000], [0.0000, 4.3206, 0.0000], [0.0000, 0.0000, 8.7788]], "species": ["Mg", "Mg", "Mg", "Mg", "Mg", "Mg", "Nb", "V", "O", "O", "O", "O", "O", "O", "O", "O"], "fractional_positions": [[0.0000, 0.0000, 0.0000], [0.0000, 0.0000, 0.5000], [0.0000, 0.5000, 0.2462], [0.0000, 0.5000, 0.7538], [0.5000, 0.0000, 0.2462], [0.5000, 0.0000, 0.7538], [0.5000, 0.5000, 0.5000], [0.5000, 0.5000, 0.0000], [0.0000, 0.0000, 0.2509], [0.0000, 0.0000, 0.7491], [0.0000, 0.5000, 0.0000], [0.0000, 0.5000, 0.5000], [0.5000, 0.0000, 0.0000], [0.5000, 0.0000, 0.5000], [0.5000, 0.5000, 0.2419], [0.5000, 0.5000, 0.7581]], "density_g_cm3": 4.2, "dos_ef_per_ev_cell": 3.05}

=====

b) {"formula": "Mg6NbVO8", "functional": "PBE+U", "state": "optimized geometry", "cell": [[4.3155, 0.0000, 0.0000], [0.0000, 4.3155, 0.0000], [0.0000, 0.0000, 8.7286]], "species": ["Mg", "Mg", "Mg", "Mg", "Mg", "Mg", "Nb", "V", "O", "O", "O", "O", "O", "O", "O", "O"], "fractional_positions": [[0.0000, 0.0000, 0.0000], [0.0000, 0.5000, 0.2443], [0.0000, 0.5000, 0.7557], [0.5000, 0.0000, 0.2443], [0.5000, 0.0000, 0.7557], [0.5000, 0.5000, 0.0000], [0.0000, 0.0000, 0.5000], [0.5000, 0.5000, 0.5000], [0.0000, 0.0000, 0.2364], [0.0000, 0.0000, 0.7635], [0.0000, 0.5000, 0.0000], [0.0000, 0.5000, 0.5000], [0.5000, 0.0000, 0.0000], [0.5000, 0.0000, 0.5000], [0.5000, 0.5000, 0.2450], [0.5000, 0.5000, 0.7550]], "density_g_cm3": 4.3, "dos_ef_per_ev_cell": 3.14}

=====

Relative energies, in meV/atom, with the most stable structure set to zero: a) 27; b) 0.